w) VASP calculation (SCAN) on a PBEsol-optimized structure of SiP2Br.

abc: 3.5352 4.3971 5.2365
angles: 107.98 90.00 90.00
Fractional coordinates of all 4 atoms:
Br 0.5000 0.5000 0.0000
P 0.0000 0.1194 0.3530
P 0.0000 0.8806 0.6470
Si 0.5000 0.5000 0.5000

Properties
- Density of states at the Fermi level: 1.1 states/eV/cell
- Spin magnetization: 0.00 μB/cell


x) VASP calculation (SCAN) on a PBEsol-optimized structure of SiP2Br.

abc: 3.2515 4.6919 5.4361
angles: 115.57 107.40 90.00
Fractional coordinates of all 4 atoms:
P 0.1932 0.1932 0.3864
Si 0.5000 0.0000 0.0000
P 0.8068 0.8068 0.6136
Br 0.0000 0.5000 0.0000

Properties
- Density of states at the Fermi level: 1.7 states/eV/cell
- Spin magnetization: 0.00 μB/cell


w) (656 meV per atom below the next structure)


w) VASP calculation (SCAN) on a PBEsol-optimized structure of Ta2PBr.

abc: 3.2789 3.2789 6.8117
angles: 90.00 90.00 90.00
Fractional coordinates of all 4 atoms:
P 0.5000 0.5000 0.8359
Br 0.0000 0.0000 0.4809
Ta 0.0000 0.0000 0.9596
Ta 0.5000 0.5000 0.2236

Properties
- Density of states at the Fermi level: 2.7 states/eV/cell
- Spin magnetization: 0.00 μB/cell


x) VASP calculation (SCAN) on a PBEsol-optimized structure of Ta2PBr.

abc: 3.2030 3.2030 7.9330
angles: 78.35 78.35 60.00
Fractional coordinates of all 4 atoms:
P 0.0000 0.0000 0.0000
Ta 0.2627 0.2627 0.2120
Ta 0.7373 0.7373 0.7880
Br 0.5000 0.5000 0.5000

Properties
- Density of states at the Fermi level: 1.9 states/eV/cell
- Spin magnetization: 0.00 μB/cell


w) (280 meV per atom below the next structure)


w) VASP calculation (SCAN) on a PBEsol-optimized structure of TcP2Br.

abc: 4.3766 4.3766 4.3766
angles: 60.00 60.00 60.00
Fractional coordinates of all 4 atoms:
Tc 0.2500 0.2500 0.2500
Br 0.5000 0.5000 0.5000
P 0.0000 0.0000 0.0000
P 0.7500 0.7500 0.7500

Properties
- Density of states at the Fermi level: 2.3 states/eV/cell
- Spin magnetization: 0.00 μB/cell


x) VASP calculation (SCAN) on a PBEsol-optimized structure of TcP2Br.

abc: 3.5030 4.3951 4.7525
angles: 90.00 106.08 90.00
Fractional coordinates of all 4 atoms:
Br 0.0000 0.5000 0.5000
P 0.3068 0.0000 0.1489
Tc 0.5000 0.5000 0.0000
P 0.6932 0.0000 0.8511

Properties
- Density of states at the Fermi level: 2.8 states/eV/cell
- Spin magnetization: 0.00 μB/cell


y) VASP calculation (SCAN) on a PBEsol-optimized structure of TcP2Br.

abc: 2.9056 4.6475 5.7345
angles: 113.90 104.68 90.00
Fractional coordinates of all 4 atoms:
Tc 0.0000 0.5000 0.0000
P 0.3084 0.3084 0.6168
Br 0.5000 0.0000 0.0000
P 0.6916 0.6916 0.3832

Properties
- Density of states at the Fermi level: 2.7 states/eV/cell
- Spin magnetization: 0.00 μB/cell


x) (244 meV per atom below the next structure)


w) VASP calculation (SCAN) on a PBEsol-optimized structure of Tl2PBr.

abc: 5.1757 5.1757 5.1757
angles: 60.00 60.00 60.00
Fractional coordinates of all 4 atoms:
Tl 0.2500 0.2500 0.2500
Br 0.5000 0.5000 0.5000
P 0.7500 0.7500 0.7500
Tl 0.0000 0.0000 0.0000

Properties
- Density of states at the Fermi level: 2.1 states/eV/cell
- Spin magnetization: 0.00 μB/cell


x) VASP calculation (SCAN) on a PBEsol-optimized structure of Tl2PBr.

abc: 4.2448 4.2448 5.9478
angles: 90.00 90.00 90.00
Fractional coordinates of all 4 atoms:
Tl 0.0000 0.0000 0.8753
Tl 0.5000 0.5000 0.3743
P 0.5000 0.5000 0.8749
Br 0.0000 0.0000 0.3756

Properties
- Density of states at the Fermi level: 1.9 states/eV/cell
- Spin magnetization: 0.00 μB/cell


x) (360 meV per atom below the next structure)


w) VASP calculation (SCAN) on a PBEsol-optimized structure of PWBr2.

abc: 2.9948 4.5260 5.2631
angles: 90.00 90.00 90.00
Fractional coordinates of all 4 atoms:
Br 0.5000 0.0000 0.5000
P 0.5000 0.5000 0.0000
Br 0.0000 0.0000 0.0000
W 0.0000 0.5000 0.5000

Properties
- Density of states at the Fermi level: 2.6 states/eV/cell
- Spin magnetization: 1.52 μB/cell


x) VASP calculation (SCAN) on a PBEsol-optimized structure of PWBr2.

abc: 4.3963 4.7135 4.3963
angles: 117.80 90.00 117.80
Fractional coordinates of all 4 atoms:
P 0.5000 0.0000 0.5000
Br 0.7500 0.5000 0.2500
W 0.2500 0.5000 0.7500
Br 0.0000 0.0000 0.0000

Properties
- Density of states at the Fermi level: 2.3 states/eV/cell
- Spin magnetization: 0.00 μB/cell


x) (59 meV per atom below the next structure)


w) VASP calculation (SCAN) on a PBEsol-optimized structure of PW2Br.

abc: 4.5020 4.5020 4.5020
angles: 60.00 60.00 60.00
Fractional coordinates of all 4 atoms:
W 0.7500 0.7500 0.7500
Br 0.5000 0.5000 0.5000
P 0.2500 0.2500 0.2500
W 0.0000 0.0000 0.0000

Properties
- Density of states at the Fermi level: 3.8 states/eV/cell
- Spin magnetization: 0.00 μB/cell


x) VASP calculation (SCAN) on a PBEsol-optimized structure of PW2Br.

abc: 3.0653 4.3466 4.3466
angles: 90.00 90.00 90.00
Fractional coordinates of all 4 atoms:
W 0.0000 0.5000 0.0000
W 0.0000 0.0000 0.5000
Br 0.5000 0.5000 0.5000
P 0.5000 0.0000 0.0000

Properties
- Density of states at the Fermi level: 2.7 states/eV/cell
- Spin magnetization: 0.00 μB/cell


y) VASP calculation (SCAN) on a PBEsol-optimized structure of PW2Br.

abc: 3.0335 5.0818 5.0818
angles: 107.60 107.56 107.56
Fractional coordinates of all 4 atoms:
W 0.0000 0.0000 0.5000
P 0.0000 0.5000 0.5000
Br 0.0000 0.0000 0.0000
W 0.0000 0.5000 0.0000

Properties
- Density of states at the Fermi level: 3.3 states/eV/cell
- Spin magnetization: 0.00 μB/cell


x) (271 meV per atom below the next structure)


w) VASP calculation (SCAN) on a PBEsol-optimized structure of ZnP2Br.

abc: 2.8309 2.8309 11.0067
angles: 82.61 82.61 60.00
Fractional coordinates of all 4 atoms:
P 0.7722 0.7722 0.6834
Br 0.0000 0.0000 0.0000
Zn 0.5000 0.5000 0.5000
P 0.2278 0.2278 0.3166

Properties
- Density of states at the Fermi level: 2.4 states/eV/cell
- Spin magnetization: 0.00 μB/cell


x) VASP calculation (SCAN) on a PBEsol-optimized structure of ZnP2Br.

abc: 3.0620 4.7066 4.6753
angles: 90.00 90.00 90.00
Fractional coordinates of all 4 atoms:
P 0.5000 0.0000 0.5000
Br 0.0000 0.5000 0.5000
P 0.0000 0.0000 0.0000
Zn 0.5000 0.5000 0.0000

Properties
- Density of states at the Fermi level: 1.5 states/eV/cell
- Spin magnetization: 0.00 μB/cell


w) (177 meV per atom below the next structure)


w) VASP calculation (SCAN) on a PBEsol-optimized structure of ZrPBr2.

abc: 3.5622 5.1977 6.8274
angles: 112.37 105.12 90.00
Fractional coordinates of all 4 atoms:
P 0.6136 0.6136 0.2272
Br 0.9276 0.9276 0.8551
Zr 0.2552 0.7552 0.5103
Br 0.7037 0.2037 0.4074

Properties
- Density of states at the Fermi level: 1.0 states/eV/cell
- Spin magnetization: 0.00 μB/cell


x) VASP calculation (SCAN) on a PBEsol-optimized structure of ZrPBr2.

abc: 3.3338 4.8150 4.8150
angles: 90.11 90.00 90.00
Fractional coordinates of all 4 atoms:
Zr 0.5000 0.5000 0.5000
P 0.5000 0.0000 0.0000
Br 0.0000 0.5000 0.0000
Br 0.0000 0.0000 0.5000

Properties
- Density of states at the Fermi level: 2.5 states/eV/cell
- Spin magnetization: 0.00 μB/cell


w) (859 meV per atom below the next structure)


w) VASP calculation (SCAN) on a PBEsol-optimized structure of RbPb3Br.

abc: 5.8025 5.8025 5.8025
angles: 90.00 90.00 90.00
Fractional coordinates of all 5 atoms:
Pb 0.5000 0.0000 0.0000
Pb 0.0000 0.5000 0.0000
Rb 0.5000 0.5000 0.5000
Pb 0.0000 0.0000 0.5000
Br 0.0000 0.0000 0.0000

Properties
- Density of states at the Fermi level: 3.8 states/eV/cell
- Spin magnetization: 0.00 μB/cell


x) VASP calculation (SCAN) on a PBEsol-optimized structure of RbPb3Br.

abc: 6.1801 6.1801 6.1801
angles: 90.00 90.00 90.00
Fractional coordinates of all 5 atoms:
Pb 0.0000 0.0000 0.5000
Pb 0.0000 0.5000 0.0000
Rb 0.0000 0.0000 0.0000
Br 0.5000 0.5000 0.5000
Pb 0.5000 0.0000 0.0000

Properties
- Density of states at the Fermi level: 4.8 states/eV/cell
- Spin magnetization: 2.70 μB/cell


w) (852 meV per atom below the next structure)


w) VASP calculation (SCAN) on a PBEsol-optimized structure of RePbBr2.

abc: 3.2016 4.9065 7.0438
angles: 110.33 103.14 90.00
Fractional coordinates of all 4 atoms:
Br 0.1610 0.1613 0.3219
Br 0.8390 0.8387 0.6781
Re 0.5000 0.0000 0.0000
Pb 0.0000 0.5000 0.0000

Properties
- Density of states at the Fermi level: 2.1 states/eV/cell
- Spin magnetization: 0.00 μB/cell


x) VASP calculation (SCAN) on a PBEsol-optimized structure of RePbBr2.

abc: 3.3288 4.9814 4.9814
angles: 90.00 90.00 90.00
Fractional coordinates of all 4 atoms:
Pb 0.5000 0.5000 0.5000
Br 0.0000 0.0000 0.5000
Br 0.0000 0.5000 0.0000
Re 0.5000 0.0000 0.0000

Properties
- Density of states at the Fermi level: 2.8 states/eV/cell
- Spin magnetization: 2.02 μB/cell


y) VASP calculation (SCAN) on a PBEsol-optimized structure of RePbBr2.

abc: 3.3214 3.3626 9.4384
angles: 90.00 90.00 119.60
Fractional coordinates of all 4 atoms:
Br 0.0000 0.0000 0.9544
Br 0.5000 0.0000 0.2688
Re 0.5000 0.0000 0.7603
Pb 0.0000 0.0000 0.5165

Properties
- Density of states at the Fermi level: 2.2 states/eV/cell
- Spin magnetization: 0.00 μB/cell


w) (319 meV per atom below the next structure)


w) VASP calculation (SCAN) on a PBEsol-optimized structure of RhPbBr2.

abc: 4.1376 5.0491 5.4567
angles: 117.54 90.00 90.00
Fractional coordinates of all 4 atoms:
Rh 0.5000 0.2597 0.5194
Br 0.5000 0.7306 0.4610
Pb 0.0000 0.4264 0.8528
Br 0.0000 0.0834 0.1668

Properties
- Density of states at the Fermi level: 1.7 states/eV/cell
- Spin magnetization: 0.00 μB/cell


x) VASP calculation (SCAN) on a PBEsol-optimized structure of RhPbBr2.

abc: 3.4715 3.4715 7.7212
angles: 90.00 90.00 90.00
Fractional coordinates of all 4 atoms:
Br 0.0000 0.0000 0.9082
Rh 0.5000 0.5000 0.7995
Pb 0.0000 0.0000 0.5218
Br 0.5000 0.5000 0.2704

Properties
- Density of states at the Fermi level: 1.9 states/eV/cell
- Spin magnetization: 0.00 μB/cell


w) (315 meV per atom below the next structure)


w) VASP calculation (SCAN) on a PBEsol-optimized structure of Sb2PbBr.

abc: 5.2969 5.2969 5.2969
angles: 60.00 60.00 60.00
Fractional coordinates of all 4 atoms:
Sb 0.7500 0.7500 0.7500
Br 0.0000 0.0000 0.0000
Pb 0.5000 0.5000 0.5000
Sb 0.2500 0.2500 0.2500

Properties
- Density of states at the Fermi level: 1.7 states/eV/cell
- Spin magnetization: 0.00 μB/cell


x) VASP calculation (SCAN) on a PBEsol-optimized structure of Sb2PbBr.

abc: 3.4044 3.4044 9.2715
angles: 90.00 90.00 90.00
Fractional coordinates of all 4 atoms:
Br 0.5000 0.5000 0.0000
Sb 0.0000 0.0000 0.2436
Pb 0.5000 0.5000 0.5000
Sb 0.0000 0.0000 0.7564

Properties
- Density of states at the Fermi level: 2.1 states/eV/cell
- Spin magnetization: 0.00 μB/cell


y) VASP calculation (SCAN) on a PBEsol-optimized structure of Sb2PbBr.

abc: 4.1573 4.8185 6.1779
angles: 90.00 90.00 95.48
Fractional coordinates of all 4 atoms:
Sb 0.7249 0.7979 0.0000
Br 0.0000 0.5000 0.5000
Pb 0.5000 0.0000 0.5000
Sb 0.2751 0.2021 0.0000

Properties
- Density of states at the Fermi level: 1.8 states/eV/cell
- Spin magnetization: 0.00 μB/cell


z) VASP calculation (SCAN) on a PBEsol-optimized structure of Sb2PbBr.

abc: 3.2855 5.9435 6.4535
angles: 117.42 90.00 90.00
Fractional coordinates of all 4 atoms:
Pb 0.5000 0.5000 0.0000
Sb 0.0000 0.0000 0.5000
Sb 0.0000 0.5000 0.5000
Br 0.5000 0.0000 0.0000

Properties
- Density of states at the Fermi level: 2.1 states/eV/cell
- Spin magnetization: 0.00 μB/cell


y) (188 meV per atom below the next structure)